4
Lattice="0.0000 2.9590 2.9590 2.9590 0.0000 2.9590 2.9590 2.9590 0.0000" Properties=species:S:1:pos:R:3 comment="Ti2GaB, relaxed, DFT PBEsol" crystal_system=cubic total_magnetization_mub_per_fu=0.0 dos_at_fermi_per_ev_cell=5.44 e_tot_ev_per_cell=-27.1 pbc="T T T"
Ti 1.4795 1.4795 1.4795
Ti 4.4385 4.4385 4.4385
Ga 0.0000 0.0000 0.0000
B 2.9590 2.9590 2.9590